Entry from the Open Quantum Materials Database: a geometry-optimized PrHoGa2Br2 structure (PBE).

Computed properties:
Raw total energy: -4.35 eV per atom
M_tot: 0.004 μB/cell

The structure in CIF format:
```
data_PrHoGa2Br2
_chemical_formula_sum 'Pr1 Ho1 Ga2 Br2'
_symmetry_space_group_name_H-M 'P 1'
_symmetry_Int_Tables_number 1
_symmetry_space_group_name_Hall 'P 1'
_cell_length_a 4.193
_cell_length_b 4.193
_cell_length_c 11.426
_cell_angle_alpha 90.00
_cell_angle_beta 90.00
_cell_angle_gamma 120.00
loop_
_atom_site_label
_atom_site_fract_x
_atom_site_fract_y
_atom_site_fract_z
Pr1 0.000 0.000 0.000
Ho1 0.000 0.000 0.365
Ga1 0.333 0.667 0.217
Ga2 0.667 0.333 0.160
Br1 0.333 0.667 0.836
Br2 0.667 0.333 0.516
```